# TcAgTe2 (PBE, relaxed)
data_TcAgTe2
_cell_length_a 3.280
_cell_length_b 3.280
_cell_length_c 7.983
_cell_angle_alpha 90.00
_cell_angle_beta 90.00
_cell_angle_gamma 90.00
_symmetry_space_group_name_H-M 'P 4/m m m'
_symmetry_Int_Tables_number 123
_symmetry_space_group_name_Hall '-P 4 2'
loop_
_atom_site_label
_atom_site_type_symbol
_atom_site_fract_x
_atom_site_fract_y
_atom_site_fract_z
Tc1 Tc 0.000 0.000 0.000
Ag1 Ag 0.000 0.000 0.500
Te1 Te 0.500 0.500 0.209
# Energy above the most stable polymorph in this dataset ... 2.32 kcal/mol of atoms
# D(E_F) ... 0.86 states/eV per atom